Entry 1:
# Nd2Sm6Th GGA-PBE optimized geometry
data_Nd2Sm6Th
_chemical_formula_sum 'Nd2 Sm6 Th1'
_cell_length_a 3.6307
_cell_length_b 3.6307
_cell_length_c 27.1049
_cell_angle_alpha 90.00
_cell_angle_beta 90.00
_cell_angle_gamma 120.00
_symmetry_space_group_name_H-M 'P -6 m 2'
_symmetry_Int_Tables_number 187
_symmetry_space_group_name_Hall 'P -6 2'
loop_
_atom_site_label
_atom_site_fract_x
_atom_site_fract_y
_atom_site_fract_z
Nd1 0.0000 0.0000 0.1701
Sm1 0.0000 0.0000 0.3918
Sm2 0.6667 0.3333 0.0631
Sm3 0.6667 0.3333 0.2831
Th1 0.6667 0.3333 0.5000
# offset from the most stable computed form	15	meV/atom
# DFT formation energy	0.07	eV per atom

Entry 2:
# TiGa2Ge GGA-PBE optimized geometry
data_TiGa2Ge
_chemical_formula_sum 'Ti4 Ga8 Ge4'
_cell_length_a 7.359
_cell_length_b 7.359
_cell_length_c 5.293
_cell_angle_alpha 90.00
_cell_angle_beta 90.00
_cell_angle_gamma 90.00
_symmetry_space_group_name_H-M 'I -4 2 d'
_symmetry_Int_Tables_number 122
_symmetry_space_group_name_Hall 'I -4 2bw'
loop_
_atom_site_label
_atom_site_fract_x
_atom_site_fract_y
_atom_site_fract_z
Ti1 0.000 0.000 0.000
Ga1 0.234 0.250 0.625
Ge1 0.000 0.000 0.500
# DFT formation energy	0.00	eV per atom

Entry 3:
# Pu4TcO10 GGA-PBE optimized geometry
data_Pu4TcO10
_chemical_formula_sum 'Pu12 Tc3 O30'
_cell_length_a 3.7381
_cell_length_b 3.7381
_cell_length_c 45.9368
_cell_angle_alpha 90.00
_cell_angle_beta 90.00
_cell_angle_gamma 120.00
_symmetry_space_group_name_H-M 'R -3 m'
_symmetry_Int_Tables_number 166
_symmetry_space_group_name_Hall '-R 3 2"'
loop_
_atom_site_label
_atom_site_fract_x
_atom_site_fract_y
_atom_site_fract_z
Pu1 0.0000 0.0000 0.1035
Pu2 0.0000 0.0000 0.2987
Tc1 0.0000 0.0000 0.5000
O1 0.0000 0.0000 0.0522
O2 0.0000 0.0000 0.1553
O3 0.0000 0.0000 0.2468
O4 0.0000 0.0000 0.3504
O5 0.0000 0.0000 0.4550
# formation energy (no corrections)	-2691	meV/atom

| no. | ρ (g/cm³) | magnetization (μB per formula unit) |
| --- | --- | --- |
| 1 | 7.63 | 0.00 |
| 2 | 6.02 | 0.00 |
| 3 | 11.06 | 14.97 |